Here is a geometry-optimized NiAs3 structure from Alexandria. Energies are from PBE.

Structure (POSCAR):
```
NiAs3
1.0
4.462 0.000 0.000
0.000 5.202 -3.004
0.000 0.000 6.007
Ni As
2 6
Direct
0.224 0.667 0.333 Ni
0.724 0.333 0.667 Ni
0.474 0.000 0.304 As
0.974 0.696 0.000 As
0.974 0.304 0.304 As
0.974 0.000 0.696 As
0.474 0.304 0.000 As
0.474 0.696 0.696 As
```

Values from the calculation:
Excess energy over the best structure of this formula in the dataset   14 meV per atom
Volume   70 Å³/f.u.
Formation energy from the elements   25 meV per atom
Space-group type   P6_322, No. 182